[1]
This record from the Alexandria database describes crystalline HgAs2Os at its relaxed geometry. The functional is GGA-PBE.

Output
Fermi-level density of states: 1.671 states/eV per cell
ΔE_f: 0.6831 eV per atom

Lattice parameters (Å, degrees): 4.820 4.820 4.820 126.04 126.04 79.83
Atoms (fractional coordinates):
As  0.500  0.500  0.000
As  0.000  0.000  0.000
Hg  0.250  0.750  0.500
Os  0.750  0.250  0.500



[2]
This record from the Alexandria database describes crystalline Hg2AsOs at its relaxed geometry. The functional is GGA-PBE.

Output
Fermi-level density of states: 3.602 states/eV per cell
ΔE_f: 0.9288 eV per atom

Lattice parameters (Å, degrees): 4.751 4.751 4.751 60.00 60.00 60.00
Atoms (fractional coordinates):
As  0.500  0.500  0.500
Hg  0.000  0.000  0.000
Hg  0.250  0.250  0.250
Os  0.750  0.750  0.750



[3]
This record from the Alexandria database describes crystalline Hg2AsOs at its relaxed geometry. The functional is GGA-PBE.

Output
Fermi-level density of states: 2.917 states/eV per cell
ΔE_f: 0.9569 eV per atom

Lattice parameters (Å, degrees): 5.055 5.055 3.011 90.00 90.00 90.00
Each line ends with the local moment (μB).
Atoms (fractional coordinates):
Hg  0.000  0.000  0.000  -0.01
Hg  0.500  0.500  0.000  -0.01
Os  0.500  0.000  0.500  0.92
As  0.000  0.500  0.500  0.05



[4]
This record from the Alexandria database describes crystalline Hg2AsOs at its relaxed geometry. The functional is GGA-PBE.

Output
Fermi-level density of states: 3.159 states/eV per cell
ΔE_f: 0.8658 eV per atom

Lattice parameters (Å, degrees): 2.916 2.916 9.347 90.00 90.00 90.00
Each line ends with the local moment (μB).
Atoms (fractional coordinates):
Hg  0.000  0.000  0.476  0.02
Hg  0.000  0.000  0.024  0.02
Os  0.500  0.500  0.250  1.32
As  0.500  0.500  0.750  0.05



Calculated density values (in g cm⁻³) by entry order: 12.70 14.59 14.38 13.92.